A relaxed structure of NdGa8Fe2. Source: OQMD, functional PBE.

Unit cell a=12.471 b=14.415 c=4.027 alpha=90.00 beta=90.00 gamma=90.00
Fractional coordinates of all 44 atoms:
Nd 0.157 0.181 0.000
Nd 0.343 0.681 0.000
Nd 0.657 0.319 0.000
Nd 0.843 0.819 0.000
Ga 0.000 0.000 0.000
Ga 0.000 0.500 0.500
Ga 0.025 0.867 0.500
Ga 0.049 0.318 0.500
Ga 0.098 0.746 0.000
Ga 0.163 0.454 0.000
Ga 0.164 0.621 0.500
Ga 0.168 0.009 0.500
Ga 0.239 0.826 0.500
Ga 0.261 0.326 0.500
Ga 0.332 0.509 0.500
Ga 0.336 0.121 0.500
Ga 0.337 0.954 0.000
Ga 0.402 0.246 0.000
Ga 0.451 0.818 0.500
Ga 0.475 0.367 0.500
Ga 0.500 0.000 0.500
Ga 0.500 0.500 0.000
Ga 0.525 0.633 0.500
Ga 0.549 0.182 0.500
Ga 0.598 0.754 0.000
Ga 0.663 0.046 0.000
Ga 0.664 0.879 0.500
Ga 0.668 0.491 0.500
Ga 0.739 0.674 0.500
Ga 0.761 0.174 0.500
Ga 0.832 0.991 0.500
Ga 0.836 0.379 0.500
Ga 0.837 0.546 0.000
Ga 0.902 0.254 0.000
Ga 0.951 0.682 0.500
Ga 0.975 0.133 0.500
Fe 0.034 0.592 0.000
Fe 0.152 0.903 0.000
Fe 0.348 0.403 0.000
Fe 0.466 0.092 0.000
Fe 0.534 0.908 0.000
Fe 0.652 0.597 0.000
Fe 0.848 0.097 0.000
Fe 0.966 0.408 0.000

Space group   No. 55

***

A relaxed structure of Nd3GaFeS7. Source: OQMD, functional PBE.

Unit cell a=9.951 b=9.951 c=6.159 alpha=90.00 beta=90.00 gamma=120.00
Fractional coordinates of all 24 atoms:
Nd 0.149 0.375 0.000
Nd 0.226 0.851 0.000
Nd 0.375 0.226 0.500
Nd 0.625 0.774 0.000
Nd 0.774 0.149 0.500
Nd 0.851 0.625 0.500
Ga 0.333 0.667 0.424
Ga 0.667 0.333 0.924
Fe 0.000 0.000 0.305
Fe 0.000 0.000 0.805
S 0.092 0.574 0.272
S 0.095 0.232 0.573
S 0.137 0.905 0.573
S 0.232 0.137 0.073
S 0.333 0.667 0.790
S 0.426 0.518 0.272
S 0.482 0.908 0.272
S 0.518 0.092 0.772
S 0.574 0.482 0.772
S 0.667 0.333 0.290
S 0.768 0.863 0.573
S 0.863 0.095 0.073
S 0.905 0.768 0.073
S 0.908 0.426 0.772

Space group   No. 173

***

A relaxed structure of NdSm2Ga2Fe4. Source: OQMD, functional PBE.

Unit cell a=5.545 b=5.545 c=8.175 alpha=99.38 beta=99.38 gamma=44.15
Fractional coordinates of all 9 atoms:
Nd 0.000 0.000 0.000
Sm 0.374 0.374 0.622
Sm 0.626 0.626 0.378
Ga 0.324 0.324 0.228
Ga 0.676 0.676 0.772
Fe 0.080 0.080 0.629
Fe 0.249 0.249 0.923
Fe 0.751 0.751 0.077
Fe 0.920 0.920 0.371

Space group   No. 12

***

A relaxed structure of NdY2Ga2Fe4. Source: OQMD, functional PBE.

Unit cell a=5.489 b=5.489 c=8.086 alpha=98.98 beta=98.98 gamma=44.28
Fractional coordinates of all 9 atoms:
Nd 0.000 0.000 0.000
Y 0.374 0.374 0.620
Y 0.626 0.626 0.380
Ga 0.324 0.324 0.232
Ga 0.676 0.676 0.768
Fe 0.079 0.079 0.627
Fe 0.251 0.251 0.923
Fe 0.749 0.749 0.077
Fe 0.921 0.921 0.373

Space group   No. 12

***

A relaxed structure of GaFe2Ni. Source: OQMD, functional PBE.

Unit cell a=5.734 b=5.734 c=5.734 alpha=90.00 beta=90.00 gamma=90.00
Fractional coordinates of all 16 atoms:
Ga 0.000 0.000 0.000
Ga 0.000 0.500 0.500
Ga 0.500 0.000 0.500
Ga 0.500 0.500 0.000
Fe 0.000 0.000 0.500
Fe 0.000 0.500 0.000
Fe 0.250 0.250 0.250
Fe 0.250 0.750 0.750
Fe 0.500 0.000 0.000
Fe 0.500 0.500 0.500
Fe 0.750 0.250 0.750
Fe 0.750 0.750 0.250
Ni 0.250 0.250 0.750
Ni 0.250 0.750 0.250
Ni 0.750 0.250 0.250
Ni 0.750 0.750 0.750

Space group   No. 216

***

A relaxed structure of GaFeNi2. Source: OQMD, functional PBE.

Unit cell a=5.708 b=5.708 c=5.708 alpha=90.00 beta=90.00 gamma=90.00
Fractional coordinates of all 16 atoms:
Ga 0.000 0.000 0.000
Ga 0.000 0.500 0.500
Ga 0.500 0.000 0.500
Ga 0.500 0.500 0.000
Fe 0.250 0.250 0.250
Fe 0.250 0.750 0.750
Fe 0.750 0.250 0.750
Fe 0.750 0.750 0.250
Ni 0.000 0.000 0.500
Ni 0.000 0.500 0.000
Ni 0.250 0.250 0.750
Ni 0.250 0.750 0.250
Ni 0.500 0.000 0.000
Ni 0.500 0.500 0.500
Ni 0.750 0.250 0.250
Ni 0.750 0.750 0.750

Space group   No. 216

***

Number 1: theoretical density 7.47 g cm⁻³, total energy -196.9 eV/cell. Number 2: theoretical density 4.92 g cm⁻³, total energy -144.5 eV/cell. Number 3: theoretical density 7.78 g cm⁻³, total energy -54.9 eV/cell. Number 4: theoretical density 6.78 g cm⁻³, total energy -58.7 eV/cell. Number 5: theoretical density 8.46 g cm⁻³, total energy -103.8 eV/cell. Number 6: theoretical density 8.68 g cm⁻³, total energy -92.7 eV/cell.